Density functional theory data (GGA-PBE) for a geometry-optimized AcBeCu3 structure.

Unit cell a=3.5472 b=5.3065 c=5.3269 alpha=60.25 beta=89.49 gamma=88.87
Last column: nearest neighbours and their distance in Å.
Sites, in units of the cell vectors:
Ac  0.0000  0.0000  0.0000  3 Be 3.07-3.08, 12 Cu 3.15-3.24
Be  0.9882  0.6683  0.6643  6 Cu 2.33-2.37
Cu  0.4871  0.0027  0.4973  2 Be 2.33-2.37
Cu  0.4943  0.5007  0.9972  2 Be 2.33-2.36
Cu  0.4997  0.4993  0.4980  2 Be 2.34-2.36

Summary:
The value obtained for the total energy is -3.69 eV per atom. The calculation puts the density at 8.1 Mg/m³.